An optimized crystal structure of Sc2InIrC, computed with GGA-PBE.

As for the magnetization: 0.000 μB/atom. The value obtained for the calculated total energy is -7.223 eV/atom. Its symmetry is No. 123.

Unit cell a=4.589 b=4.589 c=4.019 alpha=90.00 beta=90.00 gamma=90.00
Atoms (fractional coordinates):
Sc 0.000 0.500 0.000
Sc 0.500 0.000 0.000
C 0.000 0.000 0.000
Ir 0.000 0.000 0.500
In 0.500 0.500 0.500



An optimized crystal structure of Sr2InIrC, computed with GGA-PBE.

As for the magnetization: 0.124 μB/atom. The value obtained for the calculated total energy is -4.724 eV/atom. Its symmetry is No. 123. Its energy relative to the lowest polymorph listed for this composition is 0.319 eV/atom.

Unit cell a=6.031 b=3.891 c=6.031 alpha=90.00 beta=90.00 gamma=90.00
Last column: magnetic moment on the atom in μB.
Atoms (fractional coordinates):
Sr 0.000 0.000 0.500  0.03
Sr 0.500 0.000 0.000  0.04
C 0.000 0.500 0.000  -0.01
Ir 0.000 0.000 0.000  0.03
In 0.500 0.500 0.500  0.13



An optimized crystal structure of Sr2InIrC, computed with GGA-PBE.

As for the magnetization: 0.000 μB/atom. The value obtained for the calculated total energy is -5.042 eV/atom. Its symmetry is No. 123. Its energy relative to the lowest polymorph listed for this composition is 0.000 eV/atom.

Unit cell a=5.572 b=5.572 c=3.915 alpha=90.00 beta=90.00 gamma=90.00
Atoms (fractional coordinates):
Sr 0.000 0.500 0.000
Sr 0.500 0.000 0.000
C 0.000 0.000 0.000
Ir 0.000 0.000 0.500
In 0.500 0.500 0.500



An optimized crystal structure of Y2InIrC, computed with GGA-PBE.

As for the magnetization: 0.000 μB/atom. The value obtained for the calculated total energy is -7.255 eV/atom. Its symmetry is No. 123.

Unit cell a=5.067 b=5.067 c=3.945 alpha=90.00 beta=90.00 gamma=90.00
Atoms (fractional coordinates):
Y 0.000 0.500 0.000
Y 0.500 0.000 0.000
C 0.000 0.000 0.000
Ir 0.000 0.000 0.500
In 0.500 0.500 0.500



An optimized crystal structure of KIn2C, computed with GGA-PBE.

As for the magnetization: 0.000 μB/atom. The value obtained for the calculated total energy is -3.157 eV/atom. Its symmetry is No. 122.

Unit cell a=7.799 b=7.799 c=6.536 alpha=53.38 beta=53.38 gamma=90.00
Atoms (fractional coordinates):
K 0.000 0.000 0.000
K 0.750 0.250 0.500
C 0.500 0.500 0.000
C 0.250 0.750 0.500
In 0.494 0.125 0.250
In 0.256 0.625 0.250
In 0.375 0.506 0.750
In 0.875 0.744 0.750



An optimized crystal structure of K2In2C, computed with GGA-PBE.

As for the magnetization: 0.558 μB/atom. The value obtained for the calculated total energy is -2.426 eV/atom. Its symmetry is No. 139. Its energy relative to the lowest polymorph listed for this composition is 0.000 eV/atom.

Unit cell a=4.175 b=4.175 c=10.417 alpha=78.44 beta=78.44 gamma=90.00
Last column: magnetic moment on the atom in μB.
Atoms (fractional coordinates):
K 0.417 0.417 0.167  0.02
K 0.583 0.583 0.833  0.02
C 0.000 0.000 0.000  1.10
In 0.750 0.250 0.500  0.00
In 0.250 0.750 0.500  0.00



An optimized crystal structure of K2InC, computed with GGA-PBE.

As for the magnetization: 0.000 μB/atom. The value obtained for the calculated total energy is -2.788 eV/atom. Its symmetry is No. 122. Its energy relative to the lowest polymorph listed for this composition is 0.000 eV/atom.

Unit cell a=12.182 b=12.182 c=8.875 alpha=46.66 beta=46.66 gamma=90.00
Atoms (fractional coordinates):
K 0.423 0.125 0.250
K 0.327 0.625 0.250
K 0.375 0.577 0.750
K 0.875 0.673 0.750
C 0.500 0.500 0.000
C 0.250 0.750 0.500
In 0.000 0.000 0.000
In 0.750 0.250 0.500



An optimized crystal structure of K2InC, computed with GGA-PBE.

As for the magnetization: 0.250 μB/atom. The value obtained for the calculated total energy is -2.188 eV/atom. Its symmetry is No. 225. Its energy relative to the lowest polymorph listed for this composition is 0.600 eV/atom.

Unit cell a=5.584 b=5.584 c=5.584 alpha=60.00 beta=60.00 gamma=60.00
Last column: magnetic moment on the atom in μB.
Atoms (fractional coordinates):
K 0.250 0.250 0.250  -0.01
K 0.750 0.750 0.750  -0.01
C 0.000 0.000 0.000  0.74
In 0.500 0.500 0.500  -0.18



An optimized crystal structure of K2In2C, computed with GGA-PBE.

As for the magnetization: 0.000 μB/atom. The value obtained for the calculated total energy is -2.143 eV/atom. Its symmetry is No. 127. Its energy relative to the lowest polymorph listed for this composition is 0.282 eV/atom.

Unit cell a=7.191 b=7.191 c=6.220 alpha=90.00 beta=90.00 gamma=90.00
Atoms (fractional coordinates):
K 0.343 0.843 0.000
K 0.843 0.657 0.000
K 0.657 0.157 0.000
K 0.157 0.343 0.000
C 0.000 0.000 0.000
C 0.500 0.500 0.000
In 0.176 0.676 0.500
In 0.676 0.824 0.500
In 0.824 0.324 0.500
In 0.324 0.176 0.500



An optimized crystal structure of KIn3C, computed with GGA-PBE.

As for the magnetization: 0.348 μB/atom. The value obtained for the calculated total energy is -1.599 eV/atom. Its symmetry is No. 221.

Unit cell a=6.342 b=6.342 c=6.342 alpha=90.00 beta=90.00 gamma=90.00
Last column: magnetic moment on the atom in μB.
Atoms (fractional coordinates):
K 0.000 0.000 0.000  -0.02
C 0.500 0.500 0.500  1.00
In 0.000 0.500 0.000  -0.05
In 0.000 0.000 0.500  -0.03
In 0.500 0.000 0.000  -0.04



An optimized crystal structure of KLiIn2C, computed with GGA-PBE.

As for the magnetization: 0.000 μB/atom. The value obtained for the calculated total energy is -2.584 eV/atom. Its symmetry is No. 123.

Unit cell a=5.298 b=4.192 c=5.298 alpha=90.00 beta=90.00 gamma=90.00
Atoms (fractional coordinates):
K 0.500 0.500 0.500
Li 0.000 0.000 0.000
C 0.000 0.500 0.000
In 0.000 0.000 0.500
In 0.500 0.000 0.000



An optimized crystal structure of K2MgInC, computed with GGA-PBE.

As for the magnetization: 0.355 μB/atom. The value obtained for the calculated total energy is -1.716 eV/atom. Its symmetry is No. 123.

Unit cell a=6.787 b=5.298 c=6.787 alpha=90.00 beta=90.00 gamma=90.00
Last column: magnetic moment on the atom in μB.
Atoms (fractional coordinates):
C 0.500 0.500 0.500  1.07
K 0.000 0.000 0.500  -0.01
K 0.500 0.000 0.000  -0.01
Mg 0.000 0.000 0.000  -0.02
In 0.000 0.500 0.000  -0.11



An optimized crystal structure of K2InMoC, computed with GGA-PBE.

As for the magnetization: 0.470 μB/atom. The value obtained for the calculated total energy is -3.877 eV/atom. Its symmetry is No. 123.

Unit cell a=6.788 b=3.946 c=6.788 alpha=90.00 beta=90.00 gamma=90.00
Last column: magnetic moment on the atom in μB.
Atoms (fractional coordinates):
C 0.000 0.500 0.000  -0.18
Mo 0.000 0.000 0.000  2.35
K 0.000 0.000 0.500  0.01
K 0.500 0.000 0.000  0.02
In 0.500 0.500 0.500  -0.12



An optimized crystal structure of KNbIn2C, computed with GGA-PBE.

As for the magnetization: 0.282 μB/atom. The value obtained for the calculated total energy is -4.344 eV/atom. Its symmetry is No. 123.

Unit cell a=5.209 b=4.329 c=5.209 alpha=90.00 beta=90.00 gamma=90.00
Last column: magnetic moment on the atom in μB.
Atoms (fractional coordinates):
C 0.000 0.000 0.000  -0.05
Nb 0.000 0.500 0.000  1.22
K 0.500 0.500 0.500  0.00
In 0.000 0.000 0.500  -0.02
In 0.500 0.000 0.000  -0.01



An optimized crystal structure of K2InC2O6, computed with GGA-PBE.

As for the magnetization: 0.000 μB/atom. The value obtained for the formation energy (no corrections) is -1.5139 eV per atom. The value obtained for the calculated total energy is -6.344 eV/atom. Its symmetry is No. 12.

Unit cell a=5.390 b=5.391 c=7.120 alpha=112.10 beta=90.00 gamma=120.00
Atoms (fractional coordinates):
K 0.707 0.413 0.121
K 0.293 0.587 0.879
In 0.500 0.000 0.500
C 0.915 0.830 0.743
C 0.085 0.170 0.257
O 0.776 0.552 0.746
O 0.223 0.027 0.253
O 0.197 0.973 0.747
O 0.777 0.973 0.747
O 0.803 0.027 0.253
O 0.224 0.448 0.254



An optimized crystal structure of KInReC2, computed with GGA-PBE.

As for the magnetization: 0.635 μB/atom. The value obtained for the calculated total energy is -3.654 eV/atom. Its symmetry is No. 123.

Unit cell a=4.442 b=5.739 c=4.442 alpha=90.00 beta=90.00 gamma=90.00
Last column: magnetic moment on the atom in μB.
Atoms (fractional coordinates):
Re 0.500 0.500 0.500  3.54
K 0.000 0.500 0.000  0.03
C 0.000 0.000 0.500  -0.28
C 0.500 0.000 0.000  -0.31
In 0.000 0.000 0.000  0.00



An optimized crystal structure of KInSb2C, computed with GGA-PBE.

As for the magnetization: 0.040 μB/atom. The value obtained for the formation energy (no corrections) is 2.3227 eV per atom. The value obtained for the calculated total energy is -1.938 eV/atom. Its symmetry is No. 123.

Unit cell a=6.069 b=6.283 c=6.069 alpha=90.00 beta=90.00 gamma=90.00
Last column: magnetic moment on the atom in μB.
Atoms (fractional coordinates):
Sb 0.000 0.000 0.500  -0.42
Sb 0.500 0.000 0.000  -0.28
K 0.000 0.000 0.000  -0.05
C 0.500 0.500 0.500  0.96
In 0.000 0.500 0.000  0.00



An optimized crystal structure of La2InC2, computed with GGA-PBE.

As for the magnetization: 0.000 μB/atom. The value obtained for the calculated total energy is -5.929 eV/atom. Its symmetry is No. 127. Its energy relative to the lowest polymorph listed for this composition is 0.063 eV/atom.

Unit cell a=7.239 b=7.239 c=3.628 alpha=90.00 beta=90.00 gamma=90.00
Atoms (fractional coordinates):
C 0.326 0.826 0.000
C 0.826 0.674 0.000
C 0.674 0.174 0.000
C 0.174 0.326 0.000
In 0.000 0.000 0.000
In 0.500 0.500 0.000
La 0.146 0.646 0.500
La 0.646 0.854 0.500
La 0.854 0.354 0.500
La 0.354 0.146 0.500



An optimized crystal structure of LaIn3C, computed with GGA-PBE.

As for the magnetization: 0.199 μB/atom. The value obtained for the calculated total energy is -2.485 eV/atom. Its symmetry is No. 221. Its energy relative to the lowest polymorph listed for this composition is 1.449 eV/atom.

Unit cell a=6.221 b=6.221 c=6.221 alpha=90.00 beta=90.00 gamma=90.00
Last column: magnetic moment on the atom in μB.
Atoms (fractional coordinates):
C 0.500 0.500 0.500  0.98
In 0.000 0.500 0.000  -0.07
In 0.000 0.000 0.500  -0.04
In 0.500 0.000 0.000  -0.09
La 0.000 0.000 0.000  -0.25



An optimized crystal structure of La4InC, computed with GGA-PBE.

As for the magnetization: 0.000 μB/atom. The value obtained for the calculated total energy is -5.497 eV/atom. Its symmetry is No. 63.

Unit cell a=5.280 b=7.238 c=9.920 alpha=90.00 beta=105.43 gamma=90.00
Atoms (fractional coordinates):
La 0.185 0.489 0.369
La 0.815 0.511 0.631
La 0.185 0.011 0.369
La 0.815 0.989 0.631
La 0.595 0.750 0.191
La 0.405 0.250 0.809
La 0.000 0.500 0.000
La 0.000 0.000 0.000
In 0.400 0.750 0.799
In 0.600 0.250 0.201
C 0.103 0.750 0.206
C 0.897 0.250 0.794



An optimized crystal structure of LaInC2, computed with GGA-PBE.

As for the magnetization: 0.000 μB/atom. The value obtained for the calculated total energy is -5.405 eV/atom. Its symmetry is No. 225. Its energy relative to the lowest polymorph listed for this composition is 0.135 eV/atom.

Unit cell a=4.471 b=4.471 c=4.471 alpha=60.00 beta=60.00 gamma=60.00
Atoms (fractional coordinates):
C 0.250 0.250 0.250
C 0.750 0.750 0.750
In 0.000 0.000 0.000
La 0.500 0.500 0.500



An optimized crystal structure of LaInC3, computed with GGA-PBE.

As for the magnetization: 0.000 μB/atom. The value obtained for the calculated total energy is -4.459 eV/atom. Its symmetry is No. 221. Its energy relative to the lowest polymorph listed for this composition is 0.748 eV/atom.

Unit cell a=4.568 b=4.568 c=4.568 alpha=90.00 beta=90.00 gamma=90.00
Atoms (fractional coordinates):
C 0.000 0.500 0.000
C 0.000 0.000 0.500
C 0.500 0.000 0.000
In 0.500 0.500 0.500
La 0.000 0.000 0.000



An optimized crystal structure of LaInC3, computed with GGA-PBE.

As for the magnetization: 0.000 μB/atom. The value obtained for the calculated total energy is -5.207 eV/atom. Its symmetry is No. 221. Its energy relative to the lowest polymorph listed for this composition is 0.000 eV/atom.

Unit cell a=4.340 b=4.340 c=4.340 alpha=90.00 beta=90.00 gamma=90.00
Atoms (fractional coordinates):
C 0.000 0.500 0.000
C 0.000 0.000 0.500
C 0.500 0.000 0.000
In 0.000 0.000 0.000
La 0.500 0.500 0.500



An optimized crystal structure of La4In2C, computed with GGA-PBE.

As for the magnetization: 0.000 μB/atom. The value obtained for the calculated total energy is -5.214 eV/atom. Its symmetry is No. 139.

Unit cell a=5.334 b=5.334 c=8.706 alpha=72.16 beta=72.16 gamma=90.00
Atoms (fractional coordinates):
C 0.000 0.000 0.000
In 0.372 0.372 0.256
In 0.628 0.628 0.744
La 0.163 0.163 0.674
La 0.837 0.837 0.326
La 0.000 0.500 0.000
La 0.500 0.000 0.000



An optimized crystal structure of La2InC2, computed with GGA-PBE.

As for the magnetization: 0.000 μB/atom. The value obtained for the calculated total energy is -5.992 eV/atom. Its symmetry is No. 139. Its energy relative to the lowest polymorph listed for this composition is 0.000 eV/atom.

Unit cell a=5.692 b=5.692 c=5.267 alpha=57.29 beta=57.29 gamma=90.00
Atoms (fractional coordinates):
C 0.405 0.405 0.191
C 0.595 0.595 0.809
In 0.000 0.000 0.000
La 0.750 0.250 0.500
La 0.250 0.750 0.500



An optimized crystal structure of LaInC2, computed with GGA-PBE.

As for the magnetization: 0.263 μB/atom. The value obtained for the calculated total energy is -5.541 eV/atom. Its symmetry is No. 122. Its energy relative to the lowest polymorph listed for this composition is 0.000 eV/atom.

Unit cell a=5.106 b=5.106 c=7.130 alpha=69.02 beta=69.02 gamma=90.00
Last column: magnetic moment on the atom in μB.
Atoms (fractional coordinates):
C 0.582 0.125 0.250  0.23
C 0.168 0.625 0.250  0.24
C 0.375 0.418 0.750  0.25
C 0.875 0.832 0.750  0.26
In 0.500 0.500 0.000  0.00
In 0.250 0.750 0.500  0.00
La 0.000 0.000 0.000  0.14
La 0.750 0.250 0.500  0.14



An optimized crystal structure of LaIn3C, computed with GGA-PBE.

As for the magnetization: 0.000 μB/atom. The value obtained for the calculated total energy is -3.934 eV/atom. Its symmetry is No. 221. Its energy relative to the lowest polymorph listed for this composition is 0.000 eV/atom.

Unit cell a=4.936 b=4.936 c=4.936 alpha=90.00 beta=90.00 gamma=90.00
Atoms (fractional coordinates):
C 0.000 0.000 0.000
In 0.000 0.500 0.000
In 0.000 0.000 0.500
In 0.500 0.000 0.000
La 0.500 0.500 0.500